# CeCoRu (PBE-GGA, optimized geometry)
data_CeCoRu
_chemical_formula_sum 'Ce4 Co4 Ru4'
_space_group_name_H-M_alt 'I m m a'
_space_group_IT_number 74
_space_group_name_Hall '-I 2b 2'
_cell_length_a 4.7459
_cell_length_b 5.4619
_cell_length_c 7.6994
_cell_angle_alpha 90.00
_cell_angle_beta 90.00
_cell_angle_gamma 90.00
loop_
_atom_site_label
_atom_site_type_symbol
_atom_site_fract_x
_atom_site_fract_y
_atom_site_fract_z
_atom_site_occupancy
Ce1 Ce 0.0000 0.2500 0.1234 1
Co1 Co 0.2500 0.2500 0.7500 1
Ru1 Ru 0.0000 0.0000 0.5000 1
# - Energy relative to the elements: -0.28 eV per atom
# - Fermi-level density of states: 3.89 states/eV/f.u.
# - E_tot: -7.72 eV per atom
# - M_tot: 0.276 μB/atom

=====

# Ce3CoRu (PBE-GGA, optimized geometry)
data_Ce3CoRu
_chemical_formula_sum 'Ce12 Co4 Ru4'
_space_group_name_H-M_alt 'C 1 2/m 1'
_space_group_IT_number 12
_cell_length_a 19.3377
_cell_length_b 3.6903
_cell_length_c 6.2519
_cell_angle_alpha 90.00
_cell_angle_beta 99.56
_cell_angle_gamma 90.00
loop_
_space_group_symop_operation_xyz
'x,y,z'
'-x,-y,-z'
'-x,y,-z'
'x,-y,z'
'x+1/2,y+1/2,z'
'-x+1/2,-y+1/2,-z'
'-x+1/2,y+1/2,-z'
'x+1/2,-y+1/2,z'
loop_
_atom_site_label
_atom_site_type_symbol
_atom_site_fract_x
_atom_site_fract_y
_atom_site_fract_z
_atom_site_occupancy
Ce1 Ce 0.9995 0.0000 0.2240 1
Ce2 Ce 0.1417 0.5000 0.0778 1
Ce3 Ce 0.1812 0.0000 0.6107 1
Co1 Co 0.2311 0.0000 0.1412 1
Ru1 Ru 0.0793 0.5000 0.5242 1
# - Energy relative to the elements: -0.24 eV per atom
# - Fermi-level density of states: 9.46 states/eV/f.u.
# - E_tot: -7.08 eV per atom
# - M_tot: 0.001 μB/atom

=====

# Ce4Co2Ru (PBE-GGA, optimized geometry)
data_Ce4Co2Ru
_chemical_formula_sum 'Ce16 Co8 Ru4'
_space_group_name_H-M_alt 'I 41/a m d'
_space_group_IT_number 141
_cell_length_a 8.4748
_cell_length_b 8.4748
_cell_length_c 8.9022
_cell_angle_alpha 90.00
_cell_angle_beta 90.00
_cell_angle_gamma 90.00
loop_
_space_group_symop_operation_xyz
'x,y,z'
'-x,-y,-z'
'-y+1/4,x+3/4,z+1/4'
'y+1/4,-x+3/4,-z+1/4'
'-x+1/2,-y,z+1/2'
'x+1/2,y,-z+1/2'
'y+1/4,-x+1/4,z+3/4'
'-y+1/4,x+1/4,-z+3/4'
'x,-y,-z'
'-x,y,z'
'-y+1/4,-x+1/4,-z+3/4'
'y+1/4,x+1/4,z+3/4'
'-x+1/2,y,-z+1/2'
'x+1/2,-y,z+1/2'
'y+1/4,x+3/4,-z+1/4'
'-y+1/4,-x+3/4,z+1/4'
'x+1/2,y+1/2,z+1/2'
'-x+1/2,-y+1/2,-z+1/2'
'-y+3/4,x+1/4,z+3/4'
'y+3/4,-x+1/4,-z+3/4'
'-x,-y+1/2,z'
'x,y+1/2,-z'
'y+3/4,-x+3/4,z+1/4'
'-y+3/4,x+3/4,-z+1/4'
'x+1/2,-y+1/2,-z+1/2'
'-x+1/2,y+1/2,z+1/2'
'-y+3/4,-x+3/4,-z+1/4'
'y+3/4,x+3/4,z+1/4'
'-x,y+1/2,-z'
'x,-y+1/2,z'
'y+3/4,x+1/4,-z+3/4'
'-y+3/4,-x+1/4,z+3/4'
loop_
_atom_site_label
_atom_site_type_symbol
_atom_site_fract_x
_atom_site_fract_y
_atom_site_fract_z
_atom_site_occupancy
Ce1 Ce 0.0000 0.0553 0.2022 1
Co1 Co 0.0000 0.0000 0.5000 1
Ru1 Ru 0.0000 0.2500 0.8750 1
# - Energy relative to the elements: -0.17 eV per atom
# - Fermi-level density of states: 12.13 states/eV/f.u.
# - E_tot: -6.91 eV per atom
# - M_tot: 0.001 μB/atom

=====

# Ce6CoRu2 (PBE-GGA, optimized geometry)
data_Ce6CoRu2
_chemical_formula_sum 'Ce12 Co2 Ru4'
_space_group_name_H-M_alt 'C 1 2/m 1'
_space_group_IT_number 12
_cell_length_a 11.2998
_cell_length_b 5.1491
_cell_length_c 8.6120
_cell_angle_alpha 90.00
_cell_angle_beta 120.12
_cell_angle_gamma 90.00
loop_
_space_group_symop_operation_xyz
'x,y,z'
'-x,-y,-z'
'-x,y,-z'
'x,-y,z'
'x+1/2,y+1/2,z'
'-x+1/2,-y+1/2,-z'
'-x+1/2,y+1/2,-z'
'x+1/2,-y+1/2,z'
loop_
_atom_site_label
_atom_site_type_symbol
_atom_site_fract_x
_atom_site_fract_y
_atom_site_fract_z
_atom_site_occupancy
Ce1 Ce 0.0158 0.0000 0.2918 1
Ce2 Ce 0.1175 0.5000 0.9779 1
Ce3 Ce 0.2021 0.5000 0.6355 1
Co1 Co 0.0000 0.0000 0.0000 1
Ru1 Ru 0.2418 0.0000 0.6750 1
# - Energy relative to the elements: -0.12 eV per atom
# - Fermi-level density of states: 18.14 states/eV/f.u.
# - E_tot: -6.93 eV per atom
# - M_tot: 0.092 μB/atom

=====

# CeCoRu (PBE-GGA, optimized geometry)
data_CeCoRu
_chemical_formula_sum 'Ce1 Co1 Ru1'
_space_group_name_H-M_alt 'P -6 m 2'
_space_group_IT_number 187
_space_group_name_Hall 'P -6 2'
_cell_length_a 4.0946
_cell_length_b 4.0946
_cell_length_c 3.9210
_cell_angle_alpha 90.00
_cell_angle_beta 90.00
_cell_angle_gamma 120.00
loop_
_atom_site_label
_atom_site_type_symbol
_atom_site_fract_x
_atom_site_fract_y
_atom_site_fract_z
_atom_site_occupancy
Ce1 Ce 0.0000 0.0000 0.0000 1
Co1 Co 0.3333 0.6667 0.5000 1
Ru1 Ru 0.6667 0.3333 0.5000 1
# - Energy relative to the elements: -0.10 eV per atom
# - Fermi-level density of states: 3.82 states/eV/f.u.
# - E_tot: -7.54 eV per atom
# - M_tot: 0.323 μB/atom

=====

# Ce2Co2Ru (PBE-GGA, optimized geometry)
data_Ce2Co2Ru
_chemical_formula_sum 'Ce4 Co4 Ru2'
_space_group_name_H-M_alt 'I m m m'
_space_group_IT_number 71
_space_group_name_Hall '-I 2 2'
_cell_length_a 4.6679
_cell_length_b 4.8795
_cell_length_c 7.7599
_cell_angle_alpha 90.00
_cell_angle_beta 90.00
_cell_angle_gamma 90.00
loop_
_atom_site_label
_atom_site_type_symbol
_atom_site_fract_x
_atom_site_fract_y
_atom_site_fract_z
_atom_site_occupancy
Ce1 Ce 0.0000 0.0000 0.2103 1
Co1 Co 0.0000 0.2589 0.5000 1
Ru1 Ru 0.0000 0.5000 0.0000 1
# - Energy relative to the elements: -0.25 eV per atom
# - Fermi-level density of states: 5.67 states/eV/f.u.
# - E_tot: -7.32 eV per atom
# - M_tot: 0.000 μB/atom

=====

# CeCoRu (PBE-GGA, optimized geometry)
data_CeCoRu
_chemical_formula_sum 'Ce2 Co2 Ru2'
_space_group_name_H-M_alt 'I 4 m m'
_space_group_IT_number 107
_space_group_name_Hall 'I 4 -2'
_cell_length_a 3.6369
_cell_length_b 3.6369
_cell_length_c 7.9480
_cell_angle_alpha 90.00
_cell_angle_beta 90.00
_cell_angle_gamma 90.00
loop_
_atom_site_label
_atom_site_type_symbol
_atom_site_fract_x
_atom_site_fract_y
_atom_site_fract_z
_atom_site_occupancy
Ce1 Ce 0.0000 0.0000 0.0000 1
Co1 Co 0.0000 0.0000 0.7117 1
Ru1 Ru 0.0000 0.0000 0.3006 1
# - Energy relative to the elements: -0.01 eV per atom
# - Fermi-level density of states: 3.81 states/eV/f.u.
# - E_tot: -7.45 eV per atom
# - M_tot: 0.004 μB/atom

=====

# Ce4Co2Ru (PBE-GGA, optimized geometry)
data_Ce4Co2Ru
_chemical_formula_sum 'Ce16 Co8 Ru4'
_space_group_name_H-M_alt 'C 1 c 1'
_space_group_IT_number 9
_cell_length_a 8.0924
_cell_length_b 13.0790
_cell_length_c 6.9160
_cell_angle_alpha 90.00
_cell_angle_beta 125.70
_cell_angle_gamma 90.00
loop_
_space_group_symop_operation_xyz
'x,y,z'
'x,-y,z+1/2'
'x+1/2,y+1/2,z'
'x+1/2,-y+1/2,z+1/2'
loop_
_atom_site_label
_atom_site_type_symbol
_atom_site_fract_x
_atom_site_fract_y
_atom_site_fract_z
_atom_site_occupancy
Ce1 Ce 0.0000 0.0124 0.0000 1
Ce2 Ce 0.0422 0.4341 0.4128 1
Ce3 Ce 0.0709 0.2261 0.7109 1
Ce4 Ce 0.2791 0.2037 0.3756 1
Co1 Co 0.3026 0.0746 0.0508 1
Co2 Co 0.4042 0.3176 0.7528 1
Ru1 Ru 0.2021 0.3899 0.0094 1
# - Energy relative to the elements: -0.22 eV per atom
# - Fermi-level density of states: 11.26 states/eV/f.u.
# - E_tot: -6.97 eV per atom
# - M_tot: 0.000 μB/atom